(1)
## BaLiCa (GGA-PBE)

Data for BaLiCa after structural relaxation.

The structure in extended XYZ format:
```
12
Lattice="-1.780 -5.219 -6.323 1.581 -3.168 2.170 -11.989 0.094 8.873" Properties=species:S:1:pos:R:3 pbc="T T T"
Ba -1.830 -0.380 0.779
Ba -7.034 -1.917 6.300
Li -7.311 -3.676 -0.039
Li -11.661 -2.986 8.111
Ca -2.784 -2.947 -2.274
Ca -7.988 -4.484 3.248
Ca -4.200 -3.809 1.472
Li -6.457 -1.449 2.590
Li -0.526 -5.307 -3.391
Ca -10.985 -2.178 4.824
Ba -5.154 -6.376 -1.580
Ba -11.939 -4.745 1.772
```

Calculated values
* energy relative to the lowest polymorph listed for this composition: 9 meV/atom
* volume: 498.5 Å³/cell
* energy of formation from the pure elements: 39.9 meV per atom
* theoretical density: 2.5 g cm⁻³
* spin magnetization: 0.0 μB per formula unit
* space group: C2/m (12)


(2)
## Ca2LaSmTl4 (GGA-PBE)

Data for Ca2LaSmTl4 after structural relaxation.

The structure in extended XYZ format:
```
8
Lattice="-4.292 -0.727 -3.406 -2.360 -4.978 -0.448 -7.901 0.189 5.430" Properties=species:S:1:pos:R:3 pbc="T T T"
Tl -8.802 -4.914 -1.314
Tl -5.751 -0.602 2.890
La 0.000 0.000 0.000
Ca -10.906 -4.140 1.172
Tl -9.375 -1.986 3.268
Sm -7.276 -2.758 0.788
Tl -5.177 -3.530 -1.692
Ca -3.646 -1.376 0.404
```

Calculated values
* volume: 239.2 Å³/cell
* energy of formation from the pure elements: -411.5 meV per atom
* theoretical density: 8.2 g cm⁻³
* spin magnetization: 0.0 μB per formula unit
* space group: R-3m (166)


(3)
## NaHf3Cl (GGA-PBE)

Data for NaHf3Cl after structural relaxation.

The structure in extended XYZ format:
```
5
Lattice="4.839 0.000 0.000 0.000 4.839 0.000 0.000 0.000 4.839" Properties=species:S:1:pos:R:3 pbc="T T T"
Cl 0.000 0.000 0.000
Hf 2.419 0.000 0.000
Hf 0.000 2.419 0.000
Hf 0.000 0.000 2.419
Na 2.419 2.419 2.419
```

Calculated values
* energy relative to the lowest polymorph listed for this composition: 0 meV/atom
* volume: 113.3 Å³/cell
* theoretical density: 8.7 g cm⁻³
* formation energy without anion corrections: 0.4042 eV/atom
* spin magnetization: 0.0 μB per formula unit
* space group: Pm-3m (221)


(4)
## K30Ga9Sb19 (GGA-PBE)

Data for K30Ga9Sb19 after structural relaxation.

The structure in extended XYZ format:
```
116
Lattice="-1.511 7.039 14.815 -17.365 -3.385 -6.268 9.755 -15.851 2.422" Properties=species:S:1:pos:R:3 pbc="T T T"
K -2.832 -5.913 4.058
K -3.313 -3.533 8.955
Sb 0.876 -12.334 4.423
Sb -5.660 1.032 6.598
Ga -8.907 -4.581 8.903
Sb -1.783 -0.643 10.804
K 0.565 -11.098 0.752
Sb -0.801 -5.404 0.998
Ga -2.047 -9.246 8.789
Sb -9.066 -4.562 -3.328
Sb -8.346 -6.860 10.042
K -12.249 -0.599 3.618
Sb -6.171 3.393 11.455
Sb -5.895 -7.580 -1.585
Ga 2.347 -8.230 8.724
Ga -10.965 -6.313 -2.694
K 0.881 -2.484 8.894
Sb -7.368 -11.447 0.145
Sb 4.825 -8.842 9.269
K -6.510 -14.710 -1.166
K -5.481 -13.634 7.581
K -8.704 -5.755 0.321
Ga -0.684 -5.357 7.031
K -7.788 0.406 3.607
Sb -10.044 0.083 6.559
K -4.951 -16.070 2.413
K -4.648 6.130 13.265
Sb -1.259 5.866 12.346
K 4.403 -7.825 5.677
K 7.798 -12.823 2.315
Sb -1.249 -3.095 5.886
K -4.364 -4.668 0.237
K 6.839 -8.088 12.307
K 7.348 -10.546 7.147
K 1.384 -4.847 3.965
K 0.344 -0.135 13.845
K -12.781 1.724 8.551
K -15.965 -3.997 -1.117
Ga -11.376 -3.972 2.275
Sb -10.924 -6.332 3.414
Sb -5.076 -1.256 1.608
Sb -0.085 -7.586 14.287
Sb 0.449 -9.980 9.359
K -1.609 -2.164 2.395
Sb -11.455 -4.026 8.383
K -10.002 -9.696 2.065
K -9.499 -12.058 -2.863
K -2.107 0.167 7.197
K -2.333 -8.212 -0.910
Sb -10.492 -8.667 -1.530
K -0.395 -6.402 10.633
Ga -8.371 -6.865 3.909
K -4.758 -7.502 10.706
K -5.371 -0.001 10.140
K -1.330 -12.616 7.390
K -7.288 -1.927 -1.360
Ga -1.056 -13.905 -1.153
Ga -0.246 -7.678 2.121
Sb -6.345 -5.224 3.369
Sb -0.504 2.346 4.938
K -2.648 2.630 12.352
K -9.183 -3.445 5.279
K -7.481 -10.134 8.494
Ga -7.933 -9.186 -1.000
Sb -3.542 -13.287 4.423
Sb 2.307 -8.210 2.617
Ga -8.082 1.743 12.057
K -5.786 -8.630 1.973
K 3.916 -5.454 10.627
K -3.768 -12.205 0.830
Sb -2.723 -6.962 7.616
Ga -11.916 -1.689 7.193
K -6.816 -3.970 11.891
Sb -6.879 -2.945 8.328
K -4.195 3.791 8.449
K -10.473 -7.368 7.001
Sb -7.817 -9.139 5.033
K -11.762 -2.936 -1.324
K 0.086 -8.788 5.710
Sb -2.958 -15.574 -0.567
Ga 1.787 -5.814 13.653
K -7.009 -12.379 3.636
K 3.632 -13.943 2.412
Ga -6.993 -2.923 2.205
Sb -9.494 -2.209 1.607
Sb -13.845 -3.364 1.748
K 2.652 -9.227 12.295
Ga -1.222 -2.922 11.943
K -4.850 -2.338 5.201
Sb -2.273 -9.319 2.662
K -4.423 -18.334 -2.418
K -8.341 2.734 8.522
Sb -3.250 -4.558 12.518
K -9.733 -1.101 10.214
K -13.491 -4.418 5.291
Sb -13.443 -5.701 -3.238
K -0.830 -14.948 2.424
Sb 1.326 -3.478 12.463
K 3.144 -11.606 7.354
K -13.021 -6.718 0.354
K -6.285 -6.331 6.940
K -16.968 0.585 8.539
Sb 1.874 -5.876 7.561
Sb 5.228 -11.178 4.283
Ga -1.625 -11.620 3.825
Ga 2.758 -10.571 3.755
K 3.362 -3.085 15.555
K -3.667 1.527 3.618
Sb -3.958 -10.896 9.391
Sb -14.378 -1.080 6.639
K -12.534 -9.089 -4.596
K -16.415 -1.719 3.716
K -1.788 -10.237 12.324
Sb 4.249 -6.423 14.207
K -4.254 -9.875 5.794
Ga -7.561 -0.638 7.184
```

Calculated values
* volume: 4595.3 Å³/cell
* theoretical density: 3.0 g cm⁻³
* formation energy without anion corrections: -0.4549 eV/atom
* spin magnetization: 0.0 μB per formula unit
* space group: R-3 (148)


(5)
## Ca2BeCr (GGA-PBE)

Data for Ca2BeCr after structural relaxation.

The structure in extended XYZ format:
```
4
Lattice="3.604 0.000 0.000 0.000 3.602 0.000 0.000 0.000 7.506" Properties=species:S:1:pos:R:3 pbc="T T T"
Be 1.802 1.801 5.629
Cr 1.802 1.801 1.876
Ca 0.000 0.000 7.353
Ca 0.000 0.000 3.906
```

Calculated values
* volume: 97.4 Å³/cell
* energy of formation from the pure elements: 573.0 meV per atom
* theoretical density: 2.4 g cm⁻³
* spin magnetization: 4.8 μB per formula unit
* space group: P4/mmm (123)


(6)
## CuIrPt2 (GGA-PBE)

Data for CuIrPt2 after structural relaxation.

The structure in extended XYZ format:
```
4
Lattice="9.069 0.010 0.006 8.649 2.726 0.006 8.649 1.336 2.377" Properties=species:S:1:pos:R:3 pbc="T T T"
Cu 13.161 2.033 1.192
Pt 0.039 0.006 0.004
Ir 19.876 3.070 1.800
Pt 6.474 1.000 0.586
```

Calculated values
* energy relative to the lowest polymorph listed for this composition: 49 meV/atom
* volume: 58.4 Å³/cell
* energy of formation from the pure elements: -3.3 meV per atom
* theoretical density: 18.4 g cm⁻³
* spin magnetization: 0.8 μB per formula unit
* space group: R3m (160)


(7)
## AcLuMg (GGA-PBE)

Data for AcLuMg after structural relaxation.

The structure in extended XYZ format:
```
3
Lattice="3.677 0.000 0.000 0.000 5.596 0.000 0.000 -2.798 4.846" Properties=species:S:1:pos:R:3 pbc="T T T"
Mg 0.631 0.000 3.231
Lu 0.598 0.000 0.000
Ac 2.447 2.798 1.615
```

Calculated values
* energy relative to the lowest polymorph listed for this composition: 75 meV/atom
* volume: 99.7 Å³/cell
* energy of formation from the pure elements: 84.9 meV per atom
* theoretical density: 7.1 g cm⁻³
* spin magnetization: 0.0 μB per formula unit
* space group: P3m1 (156)


(8)
## Ca2CdCu (GGA-PBE)

Data for Ca2CdCu after structural relaxation.

The structure in extended XYZ format:
```
8
Lattice="-6.975 2.439 3.599 -3.450 -7.246 -1.774 -4.113 -3.656 3.892" Properties=species:S:1:pos:R:3 pbc="T T T"
Ca -12.074 -6.671 4.583
Cd 0.000 0.000 0.000
Cd -8.150 -1.810 4.202
Ca -4.322 -5.045 0.451
Ca -5.553 -0.388 2.863
Ca -7.125 -4.821 3.536
Cu -5.212 -2.403 0.912
Cu -6.387 -6.652 1.515
```

Calculated values
* volume: 230.6 Å³/cell
* energy of formation from the pure elements: 69.9 meV per atom
* theoretical density: 3.7 g cm⁻³
* spin magnetization: 0.0 μB per formula unit
* space group: I-42d (122)